# LuNbCoIr

A relaxed structure of LuNbCoIr (GGA-PBE, the Alexandria database).

```
LuNbCoIr
1.0
4.5771 0.0000 0.0000
2.2886 3.9639 0.0000
2.2886 1.3213 3.7372
Lu Nb Co Ir
1 1 1 1
direct
0.5000 0.5000 0.5000
0.0000 0.0000 0.0000
0.2500 0.2500 0.2500
0.7500 0.7500 0.7500
```

Calculated values
The value obtained for the calculated volume is 67.8 Å³/cell. The total energy comes out at -31.98 eV per formula unit. Its space-group type is No. 216.